Arrangement P

First-principles (PBE-GGA) data for BaBe3 after structural relaxation, as listed in the Alexandria database.

The structure in POSCAR format:
```
BaBe3
1.0
5.486 -0.002 -0.007
-2.456 4.906 -0.007
-2.456 -3.974 2.877
Be Ba
3 1
Direct
0.500 0.500 0.000 Be
0.000 0.500 0.500 Be
0.500 0.000 0.500 Be
0.000 0.000 0.000 Ba
```

Values from the calculation:
V ... 77.1 Å³/f.u.

***

Arrangement Q

First-principles (PBE-GGA) data for BaBe3 after structural relaxation, as listed in the Alexandria database.

The structure in POSCAR format:
```
BaBe3
1.0
3.820 0.000 0.000
0.000 5.788 0.000
0.000 0.000 6.587
Be Ba
6 2
Direct
0.000 0.001 0.173 Be
0.000 0.001 0.827 Be
0.000 0.999 0.500 Be
0.500 0.999 0.673 Be
0.500 0.999 0.327 Be
0.500 0.001 0.000 Be
0.000 0.502 0.000 Ba
0.500 0.498 0.500 Ba
```

Values from the calculation:
V ... 72.8 Å³/f.u.

***

Arrangement R

First-principles (PBE-GGA) data for BaBe3 after structural relaxation, as listed in the Alexandria database.

The structure in POSCAR format:
```
BaBe3
1.0
3.526 0.000 0.000
-1.763 3.054 0.000
0.000 0.000 7.309
Be Ba
3 1
Direct
0.000 0.000 0.500 Be
0.667 0.333 0.356 Be
0.667 0.333 0.644 Be
0.000 0.000 0.000 Ba
```

Values from the calculation:
V ... 78.7 Å³/f.u.

***

Of them, the most stable is arrangement Q and the least stable is arrangement P.

***

Arrangement P

First-principles (PBE-GGA) data for Ba3Be5 after structural relaxation, as listed in the Alexandria database.

The structure in POSCAR format:
```
Ba3Be5
1.0
-1.602 0.477 10.606
0.282 -9.517 -4.964
3.952 -0.199 0.606
Be Ba
10 6
Direct
0.115 0.000 0.250 Be
0.885 0.885 0.250 Be
0.333 0.667 0.500 Be
0.333 0.667 0.000 Be
0.667 0.333 0.500 Be
0.667 0.333 0.000 Be
0.000 0.885 0.750 Be
0.885 0.000 0.750 Be
0.115 0.115 0.750 Be
0.000 0.115 0.250 Be
0.000 0.645 0.250 Ba
0.645 0.645 0.750 Ba
0.355 0.355 0.250 Ba
0.645 0.000 0.250 Ba
0.000 0.355 0.750 Ba
0.355 0.000 0.750 Ba
```

Values from the calculation:
V ... 199.9 Å³/f.u.

***

Arrangement Q

First-principles (PBE-GGA) data for Ba3Be5 after structural relaxation, as listed in the Alexandria database.

The structure in POSCAR format:
```
Ba3Be5
1.0
3.754 -5.672 0.000
3.754 5.672 0.000
0.000 0.000 4.743
Be Ba
5 3
Direct
0.000 0.000 0.000 Be
0.000 0.500 0.000 Be
0.145 0.145 0.500 Be
0.855 0.855 0.500 Be
0.500 0.000 0.000 Be
0.752 0.248 0.500 Ba
0.248 0.752 0.500 Ba
0.500 0.500 0.000 Ba
```

Values from the calculation:
V ... 202.0 Å³/f.u.

***

Of them, the most stable is arrangement P and the least stable is arrangement Q.

***

Arrangement P

First-principles (PBE-GGA) data for BaBe2 after structural relaxation, as listed in the Alexandria database.

The structure in POSCAR format:
```
BaBe2
1.0
0.000 3.975 3.975
3.975 0.000 3.975
3.975 3.975 0.000
Be Ba
4 2
Direct
0.125 0.125 0.125 Be
0.625 0.125 0.125 Be
0.125 0.125 0.625 Be
0.125 0.625 0.125 Be
0.500 0.500 0.500 Ba
0.750 0.750 0.750 Ba
```

Values from the calculation:
V ... 62.8 Å³/f.u.

***

Arrangement Q

First-principles (PBE-GGA) data for BaBe2 after structural relaxation, as listed in the Alexandria database.

The structure in POSCAR format:
```
BaBe2
1.0
3.953 2.139 -1.870
-1.592 0.005 4.601
1.165 -4.695 -0.550
Ba Be
1 2
Direct
0.000 0.000 0.000 Ba
0.250 0.750 0.500 Be
0.750 0.250 0.500 Be
```

Values from the calculation:
V ... 81.0 Å³/f.u.

***

Of them, the most stable is arrangement Q and the least stable is arrangement P.

***

Arrangement P

First-principles (PBE-GGA) data for Ba5Be after structural relaxation, as listed in the Alexandria database.

The structure in POSCAR format:
```
Ba5Be
1.0
4.186 0.000 0.000
0.000 4.186 0.000
0.000 0.000 17.677
Be Ba
1 5
Direct
0.500 0.500 0.000 Be
0.500 0.500 0.695 Ba
0.000 0.000 0.500 Ba
0.000 0.000 0.896 Ba
0.500 0.500 0.305 Ba
0.000 0.000 0.104 Ba
```

Values from the calculation:
V ... 309.7 Å³/f.u.

***

Arrangement Q

First-principles (PBE-GGA) data for Ba5Be after structural relaxation, as listed in the Alexandria database.

The structure in POSCAR format:
```
Ba5Be
1.0
3.688 -6.388 0.000
3.688 6.388 0.000
0.000 0.000 6.178
Ba Be
5 1
Direct
0.667 0.333 0.500 Ba
0.000 0.706 0.000 Ba
0.706 0.000 0.000 Ba
0.333 0.667 0.500 Ba
0.294 0.294 0.000 Ba
0.000 0.000 0.500 Be
```

Values from the calculation:
V ... 291.1 Å³/f.u.

***

Of them, the most stable is arrangement P and the least stable is arrangement Q.

***

Arrangement P

First-principles (PBE-GGA) data for Ba5Be after structural relaxation, as listed in the Alexandria database.

The structure in POSCAR format:
```
Ba5Be
1.0
-5.613 -2.143 -4.938
-2.001 -3.170 -6.814
-2.545 -10.405 0.798
Ba Be
5 1
Direct
0.339 0.339 0.266 Ba
0.378 0.378 0.879 Ba
0.661 0.661 0.734 Ba
0.000 0.000 0.500 Ba
0.622 0.622 0.121 Ba
0.000 0.000 0.000 Be
```

Values from the calculation:
V ... 308.6 Å³/f.u.

***

Arrangement Q

First-principles (PBE-GGA) data for Ba5Be after structural relaxation, as listed in the Alexandria database.

The structure in POSCAR format:
```
Ba5Be
1.0
5.461 7.319 4.662
-7.694 -6.750 -0.608
3.811 -4.591 2.743
Ba Be
5 1
Direct
0.628 0.372 0.500 Ba
0.170 0.830 0.000 Ba
0.830 0.170 0.000 Ba
0.372 0.628 0.500 Ba
0.500 0.500 0.000 Ba
0.000 0.000 0.500 Be
```

Values from the calculation:
V ... 305.7 Å³/f.u.

***

Of them, the most stable is arrangement P and the least stable is arrangement Q.

***

Arrangement P

First-principles (PBE-GGA) data for Ba5Be after structural relaxation, as listed in the Alexandria database.

The structure in POSCAR format:
```
Ba5Be
1.0
0.000 5.530 5.530
5.530 0.000 5.530
5.530 5.530 0.000
Ba Be
5 1
Direct
0.626 0.626 0.626 Ba
0.250 0.250 0.250 Ba
0.626 0.626 0.122 Ba
0.626 0.122 0.626 Ba
0.122 0.626 0.626 Ba
0.000 0.000 0.000 Be
```

Values from the calculation:
V ... 338.1 Å³/f.u.

***

Arrangement Q

First-principles (PBE-GGA) data for Ba5Be after structural relaxation, as listed in the Alexandria database.

The structure in POSCAR format:
```
Ba5Be
1.0
-6.935 -2.909 0.916
5.467 -4.170 -3.180
1.927 -2.512 6.608
Ba Be
5 1
Direct
0.500 0.000 0.500 Ba
0.667 0.333 0.000 Ba
0.000 0.500 0.500 Ba
0.333 0.667 0.000 Ba
0.500 0.500 0.500 Ba
0.000 0.000 0.000 Be
```

Values from the calculation:
V ... 364.2 Å³/f.u.

***

Of them, the most stable is arrangement P and the least stable is arrangement Q.

***

Arrangement P

First-principles (PBE-GGA) data for BaBe4 after structural relaxation, as listed in the Alexandria database.

The structure in POSCAR format:
```
BaBe4
1.0
-1.991 1.991 5.642
1.991 -1.991 5.642
1.991 1.991 -5.642
Be Ba
4 1
Direct
0.750 0.250 0.500 Be
0.697 0.697 0.000 Be
0.250 0.750 0.500 Be
0.303 0.303 0.000 Be
0.000 0.000 0.000 Ba
```

Values from the calculation:
V ... 89.5 Å³/f.u.

***

Arrangement Q

First-principles (PBE-GGA) data for BaBe4 after structural relaxation, as listed in the Alexandria database.

The structure in POSCAR format:
```
BaBe4
1.0
-3.847 -3.979 -1.880
-2.567 3.491 3.922
1.867 3.195 -4.525
Be Ba
4 1
Direct
0.500 0.500 0.500 Be
0.000 0.000 0.500 Be
0.500 0.000 0.000 Be
0.000 0.500 0.000 Be
0.000 0.000 0.000 Ba
```

Values from the calculation:
V ... 153.7 Å³/f.u.

***

Arrangement R

First-principles (PBE-GGA) data for BaBe4 after structural relaxation, as listed in the Alexandria database.

The structure in POSCAR format:
```
BaBe4
1.0
-2.958 2.958 2.344
2.958 -2.958 2.344
2.958 2.958 -2.344
Be Ba
4 1
Direct
0.500 0.811 0.311 Be
0.500 0.189 0.689 Be
0.189 0.500 0.689 Be
0.811 0.500 0.311 Be
0.000 0.000 0.000 Ba
```

Values from the calculation:
V ... 82.0 Å³/f.u.

***

Of them, the most stable is arrangement P and the least stable is arrangement Q.

***

Arrangement P

First-principles (PBE-GGA) data for Ba3Be after structural relaxation, as listed in the Alexandria database.

The structure in POSCAR format:
```
Ba3Be
1.0
5.629 -8.183 -1.121
6.548 -3.890 6.473
-9.280 3.599 -0.912
Ba Be
6 2
Direct
0.135 0.135 0.000 Ba
0.000 0.500 0.500 Ba
0.250 0.750 0.500 Ba
0.500 0.000 0.500 Ba
0.865 0.865 0.000 Ba
0.750 0.250 0.500 Ba
0.655 0.655 0.000 Be
0.345 0.345 0.000 Be
```

Values from the calculation:
V ... 172.8 Å³/f.u.

***

Arrangement Q

First-principles (PBE-GGA) data for Ba3Be after structural relaxation, as listed in the Alexandria database.

The structure in POSCAR format:
```
Ba3Be
1.0
-1.405 4.850 -0.201
-3.849 -1.229 -2.744
-6.295 -1.633 4.597
Ba Be
3 1
Direct
0.500 0.750 0.750 Ba
0.000 0.414 0.453 Ba
0.000 0.086 0.047 Ba
0.500 0.250 0.250 Be
```

Values from the calculation:
V ... 184.1 Å³/f.u.

***

Of them, the most stable is arrangement Q and the least stable is arrangement P.

***

Arrangement P

First-principles (PBE-GGA) data for Ba3Be after structural relaxation, as listed in the Alexandria database.

The structure in POSCAR format:
```
Ba3Be
1.0
8.045 0.000 0.000
-4.022 6.967 0.000
0.000 0.000 12.044
Ba Be
12 4
Direct
0.500 0.500 0.500 Ba
0.848 0.152 0.250 Ba
0.500 0.000 0.000 Ba
0.000 0.500 0.500 Ba
0.848 0.695 0.250 Ba
0.305 0.152 0.250 Ba
0.000 0.500 0.000 Ba
0.152 0.305 0.750 Ba
0.695 0.848 0.750 Ba
0.500 0.500 0.000 Ba
0.500 0.000 0.500 Ba
0.152 0.848 0.750 Ba
0.667 0.333 0.750 Be
0.000 0.000 0.000 Be
0.333 0.667 0.250 Be
0.000 0.000 0.500 Be
```

Values from the calculation:
V ... 168.8 Å³/f.u.

***

Arrangement Q

First-principles (PBE-GGA) data for Ba3Be after structural relaxation, as listed in the Alexandria database.

The structure in POSCAR format:
```
Ba3Be
1.0
4.477 0.000 0.000
-2.239 3.877 0.000
0.000 0.000 11.711
Ba Be
3 1
Direct
0.667 0.333 0.250 Ba
0.000 0.000 0.924 Ba
0.000 0.000 0.576 Ba
0.667 0.333 0.750 Be
```

Values from the calculation:
V ... 203.3 Å³/f.u.

***

Arrangement R

First-principles (PBE-GGA) data for Ba3Be after structural relaxation, as listed in the Alexandria database.

The structure in POSCAR format:
```
Ba3Be
1.0
4.326 0.000 0.000
0.000 8.266 0.000
0.000 0.000 11.101
Ba Be
6 2
Direct
0.500 0.759 0.826 Ba
0.000 0.500 0.517 Ba
0.500 0.241 0.826 Ba
0.500 0.000 0.483 Ba
0.000 0.741 0.174 Ba
0.000 0.259 0.174 Ba
0.500 0.500 0.300 Be
0.000 0.000 0.700 Be
```

Values from the calculation:
V ... 198.5 Å³/f.u.

***

Of them, the most stable is arrangement R and the least stable is arrangement P.

***

Arrangement P

First-principles (PBE-GGA) data for Ba3Be after structural relaxation, as listed in the Alexandria database.

The structure in POSCAR format:
```
Ba3Be
1.0
6.170 -7.666 0.000
6.170 7.666 0.000
0.000 0.000 4.270
Ba Be
6 2
Direct
0.199 0.447 0.250 Ba
0.801 0.553 0.750 Ba
0.122 0.878 0.250 Ba
0.878 0.122 0.750 Ba
0.447 0.199 0.750 Ba
0.553 0.801 0.250 Ba
0.480 0.520 0.750 Be
0.520 0.480 0.250 Be
```

Values from the calculation:
V ... 202.0 Å³/f.u.

***

Arrangement Q

First-principles (PBE-GGA) data for Ba3Be after structural relaxation, as listed in the Alexandria database.

The structure in POSCAR format:
```
Ba3Be
1.0
8.188 0.052 -0.008
4.824 6.616 0.008
-5.870 -4.576 3.414
Be Ba
1 3
Direct
0.584 0.000 0.584 Be
0.083 0.500 0.583 Ba
0.407 0.324 0.083 Ba
0.759 0.676 0.083 Ba
```

Values from the calculation:
V ... 184.2 Å³/f.u.

***

Of them, the most stable is arrangement P and the least stable is arrangement Q.

***

Arrangement P

First-principles (PBE-GGA) data for BaBe5 after structural relaxation, as listed in the Alexandria database.

The structure in POSCAR format:
```
BaBe5
1.0
-0.637 -0.485 4.002
2.653 -1.455 2.739
2.733 5.987 2.518
Be Ba
5 1
Direct
0.747 0.747 0.535 Be
0.414 0.414 0.579 Be
0.615 0.615 0.302 Be
0.315 0.315 0.318 Be
0.048 0.048 0.478 Be
0.028 0.028 0.955 Ba
```

Values from the calculation:
V ... 91.9 Å³/f.u.

***

Arrangement Q

First-principles (PBE-GGA) data for BaBe5 after structural relaxation, as listed in the Alexandria database.

The structure in POSCAR format:
```
BaBe5
1.0
2.548 -4.414 0.000
2.548 4.414 0.000
0.000 0.000 3.800
Be Ba
5 1
Direct
0.667 0.333 0.000 Be
0.500 0.000 0.500 Be
0.333 0.667 0.000 Be
0.000 0.500 0.500 Be
0.500 0.500 0.500 Be
0.000 0.000 0.000 Ba
```

Values from the calculation:
V ... 85.5 Å³/f.u.

***

Of them, the most stable is arrangement P and the least stable is arrangement Q.